[1]
ErTh: optimized geometry, GGA-PBE.

Cell: 4.929 4.929 4.929 Å, 60.00 60.00 60.00°
Positions (direct):
Er 0.000 0.000 0.000
Th 0.250 0.250 0.250

Computed properties:
Energy above the lowest structure with this stoichiometry (eV per atom): 2.018
Magnetic moment (μB/f.u.): 0.00
ΔH_f (0 K) (eV per atom): 2.07
VASP energy (eV for the cell shown): -7.83


[2]
PrZn5: optimized geometry, GGA-PBE.

Cell: 5.373 5.373 4.230 Å, 90.00 90.00 60.00°
Positions (direct):
Pr 0.000 0.000 0.000
Zn 0.333 0.333 0.000
Zn 0.667 0.667 0.000
Zn 0.506 0.000 0.500
Zn 0.000 0.494 0.500
Zn 0.494 0.506 0.500

Computed properties:
Magnetic moment (μB/f.u.): 0.01
ΔH_f (0 K) (eV per atom): -0.30
VASP energy (eV for the cell shown): -12.91